VASP calculation (GGA-PBEsol) on a relaxed structure of AsRh.

Summary:
energy relative to the elements: -0.070 eV per atom
final energy: -26.77 eV for the cell shown

Lattice parameters (Å, degrees): 3.0783 3.0783 8.0564 90.00 90.00 120.00
Fractional positions:
As 0.3333 0.6667 0.1658
As 0.6667 0.3333 0.8342
Rh 0.3333 0.6667 0.6337
Rh 0.6667 0.3333 0.3663

***

VASP calculation (GGA-PBEsol) on a relaxed structure of ZrI2O2.

Summary:
ΔE_f (raw): 1.31 eV per formula unit
final energy: -21.81 eV for the cell shown

Lattice parameters (Å, degrees): 4.0967 4.0967 6.7411 90.00 90.00 90.00
Fractional positions:
Zr 0.0000 0.0000 0.0000
I 0.5000 0.5000 0.0000
I 0.5000 0.5000 0.5000
O 0.0000 0.5000 0.5000
O 0.5000 0.0000 0.5000

***

VASP calculation (GGA-PBEsol) on a relaxed structure of Hf6Al16Pd7.

Summary:
energy relative to the elements: -0.724 eV per atom
final energy: -191.20 eV for the cell shown

Lattice parameters (Å, degrees): 8.7700 8.7700 8.7700 60.00 60.00 60.00
Fractional positions:
Hf 0.1818 0.1818 0.8182
Hf 0.1818 0.8182 0.1818
Hf 0.1818 0.8182 0.8182
Hf 0.8182 0.1818 0.1818
Hf 0.8182 0.1818 0.8182
Hf 0.8182 0.8182 0.1818
Al 0.1391 0.6203 0.6203
Al 0.1651 0.1651 0.1651
Al 0.1651 0.1651 0.5047
Al 0.1651 0.5047 0.1651
Al 0.3797 0.3797 0.3797
Al 0.3797 0.3797 0.8609
Al 0.3797 0.8609 0.3797
Al 0.4953 0.8349 0.8349
Al 0.5047 0.1651 0.1651
Al 0.6203 0.1391 0.6203
Al 0.6203 0.6203 0.1391
Al 0.6203 0.6203 0.6203
Al 0.8349 0.4953 0.8349
Al 0.8349 0.8349 0.4953
Al 0.8349 0.8349 0.8349
Al 0.8609 0.3797 0.3797
Pd 0.0000 0.0000 0.5000
Pd 0.0000 0.5000 0.0000
Pd 0.0000 0.5000 0.5000
Pd 0.5000 0.0000 0.0000
Pd 0.5000 0.0000 0.5000
Pd 0.5000 0.5000 0.0000
Pd 0.5000 0.5000 0.5000

***

VASP calculation (GGA-PBEsol) on a relaxed structure of AlAg7.

Summary:
energy relative to the elements: -0.040 eV per atom
excess energy over the best structure of this formula in the dataset: 0.010 eV per atom
final energy: -27.59 eV for the cell shown

Lattice parameters (Å, degrees): 6.9969 6.9969 2.8680 90.00 90.00 111.05
Fractional positions:
Al 0.0000 0.0000 0.0000
Ag 0.1172 0.3626 0.5000
Ag 0.2556 0.7444 0.0000
Ag 0.3626 0.1172 0.5000
Ag 0.5000 0.5000 0.0000
Ag 0.6374 0.8828 0.5000
Ag 0.7444 0.2556 0.0000
Ag 0.8828 0.6374 0.5000

***

Please write out number 1 again, unchanged.
VASP calculation (GGA-PBEsol) on a relaxed structure of AsRh.

Summary:
energy relative to the elements: -0.070 eV per atom
final energy: -26.77 eV for the cell shown

Lattice parameters (Å, degrees): 3.0783 3.0783 8.0564 90.00 90.00 120.00
Fractional positions:
As 0.3333 0.6667 0.1658
As 0.6667 0.3333 0.8342
Rh 0.3333 0.6667 0.6337
Rh 0.6667 0.3333 0.3663

***

Q: What is the formula in the fourth record?
A: AlAg7

***

Q: Which value of final energy does entry 4 give?
A: -27.59 eV for the cell shown

***

What did the first record say?
VASP calculation (GGA-PBEsol) on a relaxed structure of AsRh.

Summary:
energy relative to the elements: -0.070 eV per atom
final energy: -26.77 eV for the cell shown

Lattice parameters (Å, degrees): 3.0783 3.0783 8.0564 90.00 90.00 120.00
Fractional positions:
As 0.3333 0.6667 0.1658
As 0.6667 0.3333 0.8342
Rh 0.3333 0.6667 0.6337
Rh 0.6667 0.3333 0.3663